Record 1
## Th2ZnSiIr6 (GGA-PBE)

Data for a relaxed Th2ZnSiIr6 crystal.

abc: 6.460 6.460 6.460
angles: 60.00 60.00 60.00
Fractional positions:
Th  0.250  0.250  0.250
Th  0.750  0.750  0.750
Zn  0.000  0.000  0.000
Si  0.500  0.500  0.500
Ir  0.256  0.256  0.744
Ir  0.256  0.744  0.256
Ir  0.256  0.744  0.744
Ir  0.744  0.256  0.256
Ir  0.744  0.256  0.744
Ir  0.744  0.744  0.256

D(E_F): 0.073 states/eV/atom
formation energy (no corrections): -0.187 eV/atom

---

Record 2
## AlWSCl2 (GGA-PBE)

Data for a relaxed AlWSCl2 crystal.

abc: 4.557 4.557 4.989
angles: 90.00 90.00 90.00
Fractional positions:
Al  0.000  0.000  0.000
W  0.500  0.500  0.500
S  0.000  0.000  0.500
Cl  0.000  0.500  0.000
Cl  0.500  0.000  0.000

D(E_F): 0.594 states/eV/atom
formation energy (no corrections): 0.522 eV/atom
offset from the most stable computed form: 0.478 eV/atom

---

Record 3
## ScSnHg2 (GGA-PBE)

Data for a relaxed ScSnHg2 crystal.

abc: 11.359 11.359 11.359
angles: 16.78 16.78 16.78
Fractional positions:
Sc  0.000  0.000  0.000
Sn  0.500  0.500  0.500
Hg  0.086  0.086  0.086
Hg  0.914  0.914  0.914

D(E_F): 1.037 states/eV/atom
energy of formation: 0.608 eV/f.u.

---

Record 4
## La3HoEr6 (GGA-PBE)

Data for a relaxed La3HoEr6 crystal.

abc: 6.898 6.898 6.898
angles: 91.64 91.64 91.64
Fractional positions:
La  0.000  0.000  0.000
La  0.248  0.248  0.248
La  0.752  0.752  0.752
Ho  0.500  0.500  0.500
Er  0.079  0.745  0.426
Er  0.255  0.574  0.921
Er  0.426  0.079  0.745
Er  0.574  0.921  0.255
Er  0.745  0.426  0.079
Er  0.921  0.255  0.574

D(E_F): 2.198 states/eV/atom
energy of formation: 2.971 eV/f.u.
offset from the most stable computed form: 0.141 eV/atom

---

Record 5
## Zr2Ag2Au (GGA-PBE)

Data for a relaxed Zr2Ag2Au crystal.

abc: 7.363 7.363 3.737
angles: 90.00 90.00 90.00
Fractional positions:
Zr  0.171  0.329  0.000
Zr  0.329  0.829  0.000
Zr  0.671  0.171  0.000
Zr  0.829  0.671  0.000
Ag  0.131  0.631  0.500
Ag  0.369  0.131  0.500
Ag  0.631  0.869  0.500
Ag  0.869  0.369  0.500
Au  0.000  0.000  0.500
Au  0.500  0.500  0.500

D(E_F): 1.343 states/eV/atom
energy of formation: -0.063 eV/f.u.
offset from the most stable computed form: 0.000 eV/atom

---

Record 6
## TiPN3 (GGA-PBE)

Data for a relaxed TiPN3 crystal.

abc: 2.877 5.553 7.582
angles: 90.00 100.90 90.00
Fractional positions:
Ti  0.113  0.250  0.232
Ti  0.887  0.750  0.768
P  0.416  0.250  0.836
P  0.584  0.750  0.164
N  0.021  0.750  0.037
N  0.362  0.505  0.728
N  0.362  0.995  0.728
N  0.638  0.005  0.272
N  0.638  0.495  0.272
N  0.979  0.250  0.963

D(E_F): 0.000 states/eV/atom
formation energy (no corrections): -0.680 eV/atom

---

Record 7
## K5Ge2Se6 (GGA-PBE)

Data for a relaxed K5Ge2Se6 crystal.

abc: 12.810 15.109 4.406
angles: 90.00 90.00 90.00
Fractional positions:
K  0.000  0.000  0.000
K  0.059  0.247  0.000
K  0.169  0.494  0.000
K  0.331  0.994  0.000
K  0.441  0.747  0.000
K  0.500  0.500  0.000
K  0.559  0.253  0.000
K  0.669  0.006  0.000
K  0.831  0.506  0.000
K  0.941  0.753  0.000
Ge  0.190  0.702  0.500
Ge  0.310  0.202  0.500
Ge  0.690  0.798  0.500
Ge  0.810  0.298  0.500
Se  0.037  0.612  0.500
Se  0.162  0.102  0.500
Se  0.193  0.794  0.000
Se  0.307  0.294  0.000
Se  0.338  0.602  0.500
Se  0.463  0.112  0.500
Se  0.537  0.888  0.500
Se  0.662  0.398  0.500
Se  0.693  0.706  0.000
Se  0.807  0.206  0.000
Se  0.838  0.898  0.500
Se  0.963  0.388  0.500

D(E_F): 0.156 states/eV/atom
formation energy (no corrections): -0.889 eV/atom